(1)
VASP calculation (PBE-GGA) on crystalline InCuP2 at its relaxed geometry.

Geometry as extended XYZ:
```
4
Lattice="4.295 0.000 0.000 0.000 4.295 0.000 0.000 0.000 3.712" Properties=species:S:1:pos:R:3 pbc="T T T"
In 0.000 0.000 0.000
Cu 2.148 2.148 0.000
P 0.000 2.148 1.856
P 2.148 0.000 1.856
```

Properties
**M_tot**: 0.0 μB per cell
**Uncorrected energy**: -3.89 eV per atom
**Symmetry**: P4/mmm, No. 123
**Formation energy from the elements**: 0.52 eV/atom
**ρ**: 5.83 Mg/m³



(2)
VASP calculation (PBE-GGA) on crystalline Ce4C2I3 at its relaxed geometry.

Geometry as extended XYZ:
```
9
Lattice="7.571 -1.874 0.000 7.571 1.874 0.000 -2.547 0.000 8.957" Properties=species:S:1:pos:R:3 pbc="T T T"
Ce 0.867 0.000 1.943
Ce 3.705 0.000 3.588
Ce 8.891 0.000 5.368
Ce 11.729 0.000 7.014
C 3.028 0.000 5.855
C 9.568 0.000 3.102
I -1.273 0.000 4.478
I 5.766 0.000 0.767
I 6.830 0.000 8.190
```

Properties
**M_tot**: 4.2 μB per cell
**E_form (uncorrected)**: -656 meV per atom
**Uncorrected energy**: -5.86 eV per atom
**Symmetry**: C2/m, No. 12
**ρ**: 6.31 Mg/m³